Entry 1:
RbSrCa2 | GGA-PBE | optimized geometry

Cell lengths 6.714, 6.714, 6.714 Å; angles 60.00, 60.00, 60.00 degrees
Fractional positions:
Ca: 0.250 0.250 0.250
Sr: 0.500 0.500 0.500
Ca: 0.750 0.750 0.750
Rb: 0.000 0.000 0.000

Computed properties:
**Final energy**: -1.4635 eV/atom
**Calculated formation energy**: 19.26 kJ/mol of atoms
**Distance to the lowest polymorph of the same formula**: 0.077 eV/atom
**DOS at the Fermi energy**: 3.6 states/eV/f.u.

---

Entry 2:
Rb3SrCa | GGA-PBE | optimized geometry

Cell lengths 7.751, 7.751, 7.751 Å; angles 90.00, 90.00, 90.00 degrees
Fractional positions:
Ca: 0.000 0.000 0.000
Rb: 0.500 0.000 0.000
Rb: 0.000 0.000 0.500
Rb: 0.000 0.500 0.000
Sr: 0.500 0.500 0.500

Computed properties:
**Final energy**: -0.8328 eV/atom
**Calculated formation energy**: 46.74 kJ/mol of atoms
**Distance to the lowest polymorph of the same formula**: 0.000 eV/atom
**DOS at the Fermi energy**: 6.0 states/eV/f.u.